{"formula": "SrBePd2", "functional": "GGA-PBE", "state": "relaxed", "lattice_angstrom": [[-2.540, 2.540, 7.312], [2.540, -2.540, 7.312], [2.540, 2.540, -7.312]], "species": ["Sr", "Sr", "Be", "Be", "Pd", "Pd", "Pd", "Pd"], "frac_coords": [[0.000, 0.000, 0.000], [0.750, 0.250, 0.500], [0.250, 0.750, 0.500], [0.500, 0.500, 0.000], [0.334, 0.625, 0.209], [0.375, 0.584, 0.709], [0.416, 0.125, 0.791], [0.875, 0.666, 0.291]], "e_above_lowest_polymorph_mev_per_atom": 0, "volume_a3_per_atom": 23.58, "magnetic_moment_mub_per_cell": 0.0, "delta_e_f_ev_per_atom": -0.2790, "sg": "I-42d, No. 122"}

---

{"formula": "SrBe2Pd", "functional": "GGA-PBE", "state": "relaxed", "lattice_angstrom": [[0.000, 3.244, 3.244], [3.244, 0.000, 3.244], [3.244, 3.244, 0.000]], "species": ["Sr", "Be", "Be", "Pd"], "frac_coords": [[0.000, 0.000, 0.000], [0.250, 0.250, 0.250], [0.750, 0.750, 0.750], [0.500, 0.500, 0.500]], "e_above_lowest_polymorph_mev_per_atom": 405, "volume_a3_per_atom": 17.08, "magnetic_moment_mub_per_cell": 0.0, "delta_e_f_ev_per_atom": 0.3453, "sg": "Fm-3m, No. 225"}

---

Please write out number 1 again, unchanged.
{"formula": "SrBePd2", "functional": "GGA-PBE", "state": "relaxed", "lattice_angstrom": [[-2.540, 2.540, 7.312], [2.540, -2.540, 7.312], [2.540, 2.540, -7.312]], "species": ["Sr", "Sr", "Be", "Be", "Pd", "Pd", "Pd", "Pd"], "frac_coords": [[0.000, 0.000, 0.000], [0.750, 0.250, 0.500], [0.250, 0.750, 0.500], [0.500, 0.500, 0.000], [0.334, 0.625, 0.209], [0.375, 0.584, 0.709], [0.416, 0.125, 0.791], [0.875, 0.666, 0.291]], "e_above_lowest_polymorph_mev_per_atom": 0, "volume_a3_per_atom": 23.58, "magnetic_moment_mub_per_cell": 0.0, "delta_e_f_ev_per_atom": -0.2790, "sg": "I-42d, No. 122"}